Co2HgHCl | SCAN | single point on PBEsol structure

Magnetization, Bohr magnetons per cell: 3.0
Calculated total energy, eV for the cell shown: -110.60
Calculated volume, Å³ per cell: 60.8

Lattice parameters (Å, degrees): 3.1532 4.3909 4.3909 90.00 90.00 90.00
With the nearest neighbours (Å) after each atom.
Positions (direct):
Co  0.0000  0.5000  0.0000  2 Cl 2.20
Co  0.0000  0.0000  0.5000  2 Cl 2.20
Cl  0.0000  0.0000  0.0000  2 H 1.58
H  0.5000  0.0000  0.0000  2 Cl 1.58
Hg  0.5000  0.5000  0.5000  8 Co 2.70